Entry from the Open Quantum Materials Database: an optimized crystal structure of NbFePt2 (PBE-GGA).

* energy of formation: -0.2599 eV/atom

Geometry as POSCAR:
```
NbFePt2
1.0
0.000 3.134 3.134
3.134 0.000 3.134
3.134 3.134 0.000
Nb Fe Pt
1 1 2
direct
0.000 0.000 0.000 Nb
0.250 0.250 0.250 Fe
0.500 0.500 0.500 Pt
0.750 0.750 0.750 Pt
```

---

Entry from the Open Quantum Materials Database: an optimized crystal structure of Sm2ErCu4Sn2Ge2 (PBE-GGA).

* final energy: -4.782 eV per atom

Geometry as POSCAR:
```
Sm2ErCu4Sn2Ge2
1.0
-2.209 3.346 7.286
2.209 -3.346 7.286
2.209 3.346 -7.286
Sm Er Cu Sn Ge
2 1 4 2 2
direct
0.127 0.127 0.000 Sm
0.873 0.873 0.000 Sm
0.500 0.000 0.500 Er
0.153 0.341 0.812 Cu
0.471 0.659 0.812 Cu
0.529 0.341 0.188 Cu
0.847 0.659 0.188 Cu
0.284 0.784 0.500 Sn
0.716 0.216 0.500 Sn
0.193 0.500 0.693 Ge
0.807 0.500 0.307 Ge
```

---

Entry from the Open Quantum Materials Database: an optimized crystal structure of Sc5In4Pd2 (PBE-GGA).

* final energy: -5.478 eV per atom

Geometry as POSCAR:
```
Sc5In4Pd2
1.0
7.727 0.000 0.000
0.000 17.613 0.000
0.000 0.000 3.389
Sc In Pd
10 8 4
direct
0.000 0.000 0.000 Sc
0.125 0.419 0.000 Sc
0.250 0.219 0.000 Sc
0.250 0.719 0.000 Sc
0.375 0.919 0.000 Sc
0.500 0.500 0.000 Sc
0.625 0.081 0.000 Sc
0.750 0.281 0.000 Sc
0.750 0.781 0.000 Sc
0.875 0.581 0.000 Sc
0.075 0.851 0.500 In
0.206 0.567 0.500 In
0.294 0.067 0.500 In
0.425 0.351 0.500 In
0.575 0.649 0.500 In
0.706 0.933 0.500 In
0.794 0.433 0.500 In
0.925 0.149 0.500 In
0.038 0.306 0.500 Pd
0.462 0.806 0.500 Pd
0.538 0.194 0.500 Pd
0.962 0.694 0.500 Pd
```

---

Entry from the Open Quantum Materials Database: an optimized crystal structure of ScNiSnPt (PBE-GGA).

* distance to the lowest polymorph of the same formula: 0 meV per atom

Geometry as POSCAR:
```
ScNiSnPt
1.0
0.000 3.229 3.229
3.229 0.000 3.229
3.229 3.229 0.000
Sc Ni Sn Pt
1 1 1 1
direct
0.000 0.000 0.000 Sc
0.750 0.750 0.750 Ni
0.500 0.500 0.500 Sn
0.250 0.250 0.250 Pt
```

---

Entry from the Open Quantum Materials Database: an optimized crystal structure of LaMgTcTe (PBE-GGA).

* distance to the lowest polymorph of the same formula: 0 meV per atom

Geometry as POSCAR:
```
LaMgTcTe
1.0
0.000 3.496 3.496
3.496 0.000 3.496
3.496 3.496 0.000
La Mg Tc Te
1 1 1 1
direct
0.000 0.000 0.000 La
0.250 0.250 0.250 Mg
0.750 0.750 0.750 Tc
0.500 0.500 0.500 Te
```

---

Entry from the Open Quantum Materials Database: an optimized crystal structure of TmCuPbSe2S (PBE-GGA).

* final energy: -4.876 eV per atom

Geometry as POSCAR:
```
TmCuPbSe2S
1.0
1.999 -6.748 0.000
1.999 6.748 0.000
0.000 0.000 10.145
Tm Cu Pb Se S
2 2 2 4 2
direct
0.000 0.000 0.000 Tm
0.000 0.000 0.500 Tm
0.473 0.527 0.750 Cu
0.527 0.473 0.250 Cu
0.256 0.744 0.250 Pb
0.744 0.256 0.750 Pb
0.358 0.642 0.561 Se
0.358 0.642 0.939 Se
0.642 0.358 0.061 Se
0.642 0.358 0.439 Se
0.070 0.930 0.750 S
0.930 0.070 0.250 S
```

---

Entry from the Open Quantum Materials Database: an optimized crystal structure of KW3Cl (PBE-GGA).

* final energy: -6.263 eV per atom

Geometry as POSCAR:
```
KW3Cl
1.0
4.570 0.000 0.000
0.000 4.570 0.000
0.000 0.000 4.570
K W Cl
1 3 1
direct
0.000 0.000 0.000 K
0.000 0.500 0.500 W
0.500 0.000 0.500 W
0.500 0.500 0.000 W
0.500 0.500 0.500 Cl
```

---

Entry from the Open Quantum Materials Database: an optimized crystal structure of Zr3H4Se6O25 (PBE-GGA).

* final energy: -6.126 eV per atom

Geometry as POSCAR:
```
Zr3H4Se6O25
1.0
5.236 0.000 0.000
0.069 7.956 0.000
0.526 1.510 11.792
Zr H Se O
3 4 6 25
direct
0.000 0.000 0.000 Zr
0.304 0.601 0.696 Zr
0.690 0.429 0.314 Zr
0.235 0.951 0.597 H
0.425 0.939 0.698 H
0.574 0.088 0.306 H
0.758 0.077 0.408 H
0.170 0.300 0.507 Se
0.222 0.373 0.118 Se
0.488 0.837 0.183 Se
0.523 0.187 0.823 Se
0.755 0.618 0.894 Se
0.825 0.725 0.499 Se
0.027 0.454 0.215 O
0.082 0.191 0.100 O
0.124 0.673 0.534 O
0.212 0.348 0.637 O
0.224 0.116 0.861 O
0.234 0.103 0.492 O
0.247 0.502 0.002 O
0.282 0.878 0.668 O
0.327 0.871 0.063 O
0.356 0.925 0.287 O
0.357 0.426 0.413 O
0.497 0.313 0.180 O
0.510 0.398 0.800 O
0.510 0.625 0.199 O
0.516 0.712 0.816 O
0.631 0.599 0.587 O
0.648 0.091 0.721 O
0.690 0.158 0.943 O
0.710 0.153 0.338 O
0.762 0.924 0.510 O
0.784 0.914 0.151 O
0.790 0.675 0.367 O
0.871 0.353 0.473 O
0.888 0.806 0.925 O
0.973 0.576 0.789 O
```

---

Entry from the Open Quantum Materials Database: an optimized crystal structure of InSnTe4Au3 (PBE-GGA).

* final energy: -3.266 eV per atom

Geometry as POSCAR:
```
InSnTe4Au3
1.0
6.547 0.000 0.000
0.000 8.207 0.000
-2.433 0.000 10.055
In Sn Te Au
2 2 8 6
direct
0.248 0.250 0.448 In
0.752 0.750 0.552 In
0.252 0.750 0.198 Sn
0.748 0.250 0.802 Sn
0.020 0.250 0.083 Te
0.204 0.750 0.482 Te
0.438 0.515 0.756 Te
0.438 0.985 0.756 Te
0.562 0.015 0.244 Te
0.562 0.485 0.244 Te
0.796 0.250 0.518 Te
0.980 0.750 0.917 Te
0.145 0.250 0.726 Au
0.280 0.062 0.972 Au
0.280 0.438 0.972 Au
0.720 0.562 0.028 Au
0.720 0.938 0.028 Au
0.855 0.750 0.274 Au
```

---

Entry from the Open Quantum Materials Database: an optimized crystal structure of SmTmSO2 (PBE-GGA).

* final energy: -7.816 eV per atom

Geometry as POSCAR:
```
SmTmSO2
1.0
3.813 0.000 0.000
-1.906 3.302 0.000
0.000 0.000 6.603
Sm Tm S O
1 1 1 2
direct
0.000 0.000 0.000 Sm
0.667 0.333 0.437 Tm
0.333 0.667 0.713 S
0.000 0.000 0.358 O
0.667 0.333 0.099 O
```

---

Entry from the Open Quantum Materials Database: an optimized crystal structure of MgOs (PBE-GGA).

* final energy: -6.160 eV per atom

Geometry as POSCAR:
```
MgOs
1.0
4.580 0.000 0.000
0.000 11.103 0.000
0.000 0.000 5.054
Mg Os
8 8
direct
0.250 0.100 0.111 Mg
0.250 0.250 0.654 Mg
0.250 0.400 0.111 Mg
0.250 0.750 0.686 Mg
0.750 0.250 0.314 Mg
0.750 0.600 0.889 Mg
0.750 0.750 0.346 Mg
0.750 0.900 0.889 Mg
0.250 0.000 0.612 Os
0.250 0.500 0.612 Os
0.250 0.640 0.176 Os
0.250 0.860 0.176 Os
0.750 0.000 0.388 Os
0.750 0.140 0.824 Os
0.750 0.360 0.824 Os
0.750 0.500 0.388 Os
```

---

Entry from the Open Quantum Materials Database: an optimized crystal structure of AsPt2Au (PBE-GGA).

* final energy: -4.909 eV per atom

Geometry as POSCAR:
```
AsPt2Au
1.0
0.000 3.216 3.216
3.216 0.000 3.216
3.216 3.216 0.000
As Pt Au
1 2 1
direct
0.000 0.000 0.000 As
0.500 0.500 0.500 Pt
0.750 0.750 0.750 Pt
0.250 0.250 0.250 Au
```

---

Entry from the Open Quantum Materials Database: an optimized crystal structure of LiLu2Tc (PBE-GGA).

* distance to the lowest polymorph of the same formula: 0 meV per atom

Geometry as POSCAR:
```
LiLu2Tc
1.0
4.200 0.000 0.000
-2.100 3.637 0.000
0.000 0.000 11.751
Li Lu Tc
2 4 2
direct
0.333 0.667 0.250 Li
0.667 0.333 0.750 Li
0.333 0.667 0.613 Lu
0.333 0.667 0.887 Lu
0.667 0.333 0.113 Lu
0.667 0.333 0.387 Lu
0.000 0.000 0.250 Tc
0.000 0.000 0.750 Tc
```

---

Entry from the Open Quantum Materials Database: an optimized crystal structure of TmZr2Al3NiAg2 (PBE-GGA).

* final energy: -5.305 eV per atom

Geometry as POSCAR:
```
TmZr2Al3NiAg2
1.0
4.054 0.000 0.000
0.000 5.948 3.470
0.000 -5.948 3.470
Tm Zr Al Ni Ag
1 2 3 1 2
direct
0.000 0.000 0.000 Tm
0.000 0.214 0.604 Zr
0.000 0.604 0.214 Zr
0.500 0.374 0.374 Al
0.500 0.597 0.834 Al
0.500 0.834 0.597 Al
0.000 0.597 0.597 Ni
0.500 0.271 0.936 Ag
0.500 0.936 0.271 Ag
```

---

Entry from the Open Quantum Materials Database: an optimized crystal structure of ScInAg2 (PBE-GGA).

* final energy: -3.993 eV per atom

Geometry as POSCAR:
```
ScInAg2
1.0
-2.401 2.401 3.363
2.401 -2.401 3.363
2.401 2.401 -3.363
Sc In Ag
1 1 2
direct
0.000 0.000 0.000 Sc
0.500 0.500 0.000 In
0.250 0.750 0.500 Ag
0.750 0.250 0.500 Ag
```

---

Entry from the Open Quantum Materials Database: an optimized crystal structure of KBaGa4Pt2 (PBE-GGA).

* final energy: -3.973 eV per atom

Geometry as POSCAR:
```
KBaGa4Pt2
1.0
7.459 0.000 0.000
0.000 2.132 6.041
0.000 -2.132 6.041
K Ba Ga Pt
1 1 4 2
direct
0.000 0.000 0.000 K
0.500 0.904 0.904 Ba
0.189 0.270 0.270 Ga
0.305 0.630 0.630 Ga
0.695 0.630 0.630 Ga
0.811 0.270 0.270 Ga
0.000 0.732 0.732 Pt
0.500 0.171 0.171 Pt
```

---

Entry from the Open Quantum Materials Database: an optimized crystal structure of NdTlSn (PBE-GGA).

* distance to the lowest polymorph of the same formula: 0 meV per atom

Geometry as POSCAR:
```
NdTlSn
1.0
0.000 3.709 3.709
3.709 0.000 3.709
3.709 3.709 0.000
Nd Tl Sn
1 1 1
direct
0.000 0.000 0.000 Nd
0.250 0.250 0.250 Tl
0.750 0.750 0.750 Sn
```

---

Entry from the Open Quantum Materials Database: an optimized crystal structure of YMoOs (PBE-GGA).

* energy of formation: 1.6535 eV/atom

Geometry as POSCAR:
```
YMoOs
1.0
0.000 3.196 3.196
3.196 0.000 3.196
3.196 3.196 0.000
Y Mo Os
1 1 1
direct
0.000 0.000 0.000 Y
0.750 0.750 0.750 Mo
0.250 0.250 0.250 Os
```

---

Entry from the Open Quantum Materials Database: an optimized crystal structure of BeOsNO (PBE-GGA).

* distance to the lowest polymorph of the same formula: 291 meV per atom

Geometry as POSCAR:
```
BeOsNO
1.0
3.542 0.000 0.000
0.000 3.542 0.000
0.000 0.000 6.490
Be Os N O
2 2 2 2
direct
0.250 0.250 0.050 Be
0.750 0.750 0.950 Be
0.250 0.750 0.500 Os
0.750 0.250 0.500 Os
0.250 0.250 0.328 N
0.750 0.750 0.672 N
0.250 0.750 0.000 O
0.750 0.250 0.000 O
```

---

Entry from the Open Quantum Materials Database: an optimized crystal structure of DyAsNO (PBE-GGA).

* distance to the lowest polymorph of the same formula: 12 meV per atom

Geometry as POSCAR:
```
DyAsNO
1.0
3.959 0.000 0.000
0.000 5.975 0.000
0.000 0.000 5.933
Dy As N O
2 2 2 2
direct
0.000 0.204 0.000 Dy
0.000 0.796 0.500 Dy
0.500 0.333 0.609 As
0.500 0.667 0.109 As
0.500 0.410 0.930 N
0.500 0.590 0.430 N
0.000 0.099 0.330 O
0.000 0.901 0.830 O
```

---

Entry from the Open Quantum Materials Database: an optimized crystal structure of InAs5Au3 (PBE-GGA).

* final energy: -3.635 eV per atom

Geometry as POSCAR:
```
InAs5Au3
1.0
5.327 0.000 0.000
-2.663 4.613 0.000
0.000 0.000 8.796
In As Au
1 5 3
direct
0.000 0.000 0.000 In
0.000 0.000 0.500 As
0.333 0.667 0.141 As
0.333 0.667 0.859 As
0.667 0.333 0.141 As
0.667 0.333 0.859 As
0.000 0.500 0.500 Au
0.500 0.000 0.500 Au
0.500 0.500 0.500 Au
```

---

Entry from the Open Quantum Materials Database: an optimized crystal structure of Er3Sc3FeBi2 (PBE-GGA).

* distance to the lowest polymorph of the same formula: 122 meV per atom

Geometry as POSCAR:
```
Er3Sc3FeBi2
1.0
8.120 0.000 0.000
-4.060 7.032 0.000
0.000 0.000 3.957
Er Sc Fe Bi
3 3 1 2
direct
0.000 0.235 0.000 Er
0.235 0.000 0.000 Er
0.765 0.765 0.000 Er
0.000 0.613 0.500 Sc
0.387 0.387 0.500 Sc
0.613 0.000 0.500 Sc
0.000 0.000 0.500 Fe
0.333 0.667 0.000 Bi
0.667 0.333 0.000 Bi
```